Compound: Re2HgRu
Source: Alexandria
Functional: PBE
Structure: relaxed

Space group ... No. 8
Formation enthalpy at 0 K ... 542 meV/atom
Magnetic moment ... 0.0 μB/cell

Cell lengths 4.8617, 4.8617, 4.9669 Å; angles 79.82, 79.82, 33.87 degrees
Last column: nearest neighbours and their distance in Å.
Positions (direct):
Ru (0.4864, 0.4864, 0.5266)  5 Re 2.62-2.92, 3 Hg 2.79-2.92, 2 Ru 2.83
Re (0.0119, 0.0119, 0.9589)  2 Ru 2.62, 5 Re 2.69-2.83, 1 Hg 2.87
Re (0.7532, 0.7532, 0.7574)  3 Ru 2.67-2.92, 5 Re 2.69-2.83, 4 Hg 2.85-2.87
Hg (0.2485, 0.2485, 0.2570)  3 Ru 2.79-2.92, 2 Hg 2.83, 7 Re 2.85-2.98